# 1
Here is crystalline AlIn2Pb at its relaxed geometry from Alexandria via LeMat-Bulk. Energies are from PBEsol.

Unit cell a=3.2370 b=5.5447 c=6.1162 alpha=110.83 beta=105.34 gamma=90.00
Last column: nearest neighbours and their distance in Å.
Positions (direct):
Al  0.5000  0.0000  0.0000  4 In 2.99, 4 Pb 3.21, 2 Al 3.24
Pb  0.0000  0.5000  0.0000  4 Al 3.21, 2 Pb 3.24, 6 In 3.41-3.52
In  0.2277  0.2300  0.4554  2 Al 2.99, 6 In 3.22-3.27
In  0.7723  0.7700  0.5446  2 Al 2.99, 6 In 3.22-3.27

Computed properties:
The value obtained for the total energy is -3.392 eV/atom. For the energy relative to the elements, the calculation gives 47 kJ/mol of formula units. Its density of states at the Fermi level is 1.78 states/eV/f.u.

---

# 2
Here is crystalline Al2InPb at its relaxed geometry from Alexandria via LeMat-Bulk. Energies are from PBEsol.

Unit cell a=4.7355 b=5.2365 c=4.7355 alpha=116.88 beta=90.00 gamma=116.88
Last column: nearest neighbours and their distance in Å.
Positions (direct):
Pb  0.0000  0.0000  0.0000  8 Al 3.11, 4 In 3.35
Al  0.7500  0.5000  0.2500  4 In 3.11, 4 Pb 3.11, 4 Al 3.35
Al  0.2500  0.5000  0.7500  4 In 3.11, 4 Pb 3.11, 4 Al 3.35
In  0.5000  0.0000  0.5000  8 Al 3.11, 4 Pb 3.35

Computed properties:
The value obtained for the total energy is -3.565 eV/atom. For the energy relative to the elements, the calculation gives 87 kJ/mol of formula units. Its density of states at the Fermi level is 1.73 states/eV/f.u.

---

# 3
Here is crystalline AlIn2Pb at its relaxed geometry from Alexandria via LeMat-Bulk. Energies are from PBEsol.

Unit cell a=3.5057 b=5.3720 c=6.1582 alpha=115.86 beta=106.54 gamma=90.00
Last column: nearest neighbours and their distance in Å.
Positions (direct):
Pb  0.5189  0.5189  0.0377  2 Al 3.06, 6 In 3.23-3.39
Al  0.2577  0.7577  0.5154  6 In 2.93-3.21, 2 Pb 3.06
In  0.9810  0.9810  0.9620  2 Al 2.93, 4 Pb 3.23, 2 In 3.26
In  0.7424  0.2424  0.4848  4 Al 3.21, 4 In 3.26-3.51, 4 Pb 3.39-3.57

Computed properties:
The value obtained for the total energy is -3.370 eV/atom. For the energy relative to the elements, the calculation gives 55 kJ/mol of formula units. Its density of states at the Fermi level is 2.00 states/eV/f.u.